# 1
# Tm2ThPa | the Alexandria database | PBE | relaxed
data_Tm2ThPa
_chemical_formula_sum 'Tm2 Th1 Pa1'
_space_group_name_H-M_alt 'P 1'
_space_group_IT_number 1
_cell_length_a 3.400
_cell_length_b 3.400
_cell_length_c 10.070
_cell_angle_alpha 90.00
_cell_angle_beta 90.00
_cell_angle_gamma 90.00
loop_
_space_group_symop_operation_xyz
'x,y,z'
loop_
_atom_site_label
_atom_site_type_symbol
_atom_site_fract_x
_atom_site_fract_y
_atom_site_fract_z
Pa1 Pa 0.500 0.500 0.000
Tm1 Tm 0.000 0.000 0.766
Tm2 Tm 0.000 0.000 0.234
Th1 Th 0.500 0.500 0.500
# Space-group type = P4/mmm, No. 123

# 2
# TmTh2Pa | the Alexandria database | PBE | relaxed
data_TmTh2Pa
_chemical_formula_sum 'Tm1 Th2 Pa1'
_space_group_name_H-M_alt 'P 1'
_space_group_IT_number 1
_cell_length_a 3.495
_cell_length_b 3.495
_cell_length_c 9.761
_cell_angle_alpha 90.00
_cell_angle_beta 90.00
_cell_angle_gamma 90.00
loop_
_space_group_symop_operation_xyz
'x,y,z'
loop_
_atom_site_label
_atom_site_type_symbol
_atom_site_fract_x
_atom_site_fract_y
_atom_site_fract_z
Pa1 Pa 0.500 0.500 0.000
Tm1 Tm 0.500 0.500 0.500
Th1 Th 0.000 0.000 0.759
Th2 Th 0.000 0.000 0.241
# Space-group type = P4/mmm, No. 123

# 3
# Tm2ThPa | the Alexandria database | PBE | relaxed
data_Tm2ThPa
_chemical_formula_sum 'Tm2 Th1 Pa1'
_space_group_name_H-M_alt 'P 1'
_space_group_IT_number 1
_cell_length_a 5.026
_cell_length_b 4.810
_cell_length_c 4.810
_cell_angle_alpha 90.00
_cell_angle_beta 90.00
_cell_angle_gamma 90.00
loop_
_space_group_symop_operation_xyz
'x,y,z'
loop_
_atom_site_label
_atom_site_type_symbol
_atom_site_fract_x
_atom_site_fract_y
_atom_site_fract_z
Pa1 Pa 0.500 0.500 0.500
Tm1 Tm 0.000 0.000 0.500
Tm2 Tm 0.000 0.500 0.000
Th1 Th 0.500 0.000 0.000
# Space-group type = P4/mmm, No. 123

# 4
# Tm2ThPa | the Alexandria database | PBE | relaxed
data_Tm2ThPa
_chemical_formula_sum 'Tm2 Th1 Pa1'
_space_group_name_H-M_alt 'P 1'
_space_group_IT_number 1
_cell_length_a 5.545
_cell_length_b 5.545
_cell_length_c 5.527
_cell_angle_alpha 59.89
_cell_angle_beta 59.89
_cell_angle_gamma 60.00
loop_
_space_group_symop_operation_xyz
'x,y,z'
loop_
_atom_site_label
_atom_site_type_symbol
_atom_site_fract_x
_atom_site_fract_y
_atom_site_fract_z
Tm1 Tm 0.989 0.989 0.032
Tm2 Tm 0.258 0.258 0.225
Th1 Th 0.517 0.517 0.449
Pa1 Pa 0.735 0.735 0.794
# Space-group type = R3m, No. 160

# 5
# TmTh2Pa | the Alexandria database | PBE | relaxed
data_TmTh2Pa
_chemical_formula_sum 'Tm1 Th2 Pa1'
_space_group_name_H-M_alt 'P 1'
_space_group_IT_number 1
_cell_length_a 4.786
_cell_length_b 4.976
_cell_length_c 4.976
_cell_angle_alpha 90.00
_cell_angle_beta 90.00
_cell_angle_gamma 90.00
loop_
_space_group_symop_operation_xyz
'x,y,z'
loop_
_atom_site_label
_atom_site_type_symbol
_atom_site_fract_x
_atom_site_fract_y
_atom_site_fract_z
Pa1 Pa 0.500 0.500 0.500
Tm1 Tm 0.500 0.000 0.000
Th1 Th 0.000 0.000 0.500
Th2 Th 0.000 0.500 0.000
# Space-group type = P4/mmm, No. 123

# 6
# Tm2ThPa | the Alexandria database | PBE | relaxed
data_Tm2ThPa
_chemical_formula_sum 'Tm2 Th1 Pa1'
_space_group_name_H-M_alt 'P 1'
_space_group_IT_number 1
_cell_length_a 3.341
_cell_length_b 3.341
_cell_length_c 12.273
_cell_angle_alpha 82.18
_cell_angle_beta 82.18
_cell_angle_gamma 60.00
loop_
_space_group_symop_operation_xyz
'x,y,z'
loop_
_atom_site_label
_atom_site_type_symbol
_atom_site_fract_x
_atom_site_fract_y
_atom_site_fract_z
Pa1 Pa 0.000 0.000 0.000
Tm1 Tm 0.088 0.088 0.736
Tm2 Tm 0.912 0.912 0.264
Th1 Th 0.500 0.500 0.500
# Space-group type = R-3m, No. 166

Calculated formation enthalpy at 0 K in order - 0.15; 0.08; 0.18; 0.33; 0.15; 0.29 eV per atom
Calculated total magnetization in order - 0.01; 0.00; 0.00; 0.00; 0.00; 0.00 μB per formula unit